No. 1
LiSmHo (PBE-GGA, optimized geometry); energy above the most stable polymorph in this dataset = 0.00 kcal/mol of atoms; SG = No. 216
1.0
0.000 3.579 3.579
3.579 0.000 3.579
3.579 3.579 0.000
Sm Ho Li
1 1 1
Direct
0.750 0.750 0.750
0.250 0.250 0.250
0.000 0.000 0.000

No. 2
YHoTm2C3 (PBE-GGA, optimized geometry); SG = No. 8; final energy = -7.068 eV/atom
1.0
-1.433 5.208 -3.968
-4.499 4.507 -2.088
2.809 1.486 5.136
Ho Tm Y C
1 2 1 3
Direct
0.636 0.636 0.994
0.133 0.133 0.445
0.866 0.866 0.554
0.364 0.364 0.006
0.000 0.000 0.000
0.721 0.721 0.707
0.279 0.279 0.293

No. 3
PaInPd (PBE-GGA, optimized geometry); SG = No. 216; final energy = -5.431 eV/atom
1.0
0.000 3.435 3.435
3.435 0.000 3.435
3.435 3.435 0.000
Pa In Pd
1 1 1
Direct
0.000 0.000 0.000
0.250 0.250 0.250
0.750 0.750 0.750

No. 4
NaCuTePdS2 (PBE-GGA, optimized geometry); SG = No. 63; final energy = -3.938 eV/atom
1.0
1.798 -7.008 0.000
1.798 7.008 0.000
0.000 0.000 9.981
S Cu Na Te Pd
4 2 2 2 2
Direct
0.118 0.882 0.043
0.118 0.882 0.457
0.882 0.118 0.957
0.882 0.118 0.543
0.944 0.056 0.750
0.056 0.944 0.250
0.727 0.273 0.250
0.273 0.727 0.750
0.583 0.417 0.750
0.417 0.583 0.250
0.500 0.500 0.500
0.500 0.500 0.000

No. 5
TcSbAsO (PBE-GGA, optimized geometry); energy above the most stable polymorph in this dataset = 8.40 kcal/mol of atoms; SG = No. 129
1.0
-3.025 2.371 1.572
-2.844 -2.474 -1.742
-0.140 -5.635 8.231
O As Tc Sb
2 2 2 2
Direct
0.000 0.000 0.000
0.500 0.500 0.000
0.000 0.500 0.268
0.500 0.000 0.732
0.500 0.000 0.957
0.000 0.500 0.043
0.500 0.500 0.500
0.000 0.000 0.500

No. 6
PIrO4 (PBE-GGA, optimized geometry); energy above the most stable polymorph in this dataset = 1.14 kcal/mol of atoms; SG = No. 141
1.0
2.283 -4.996 -0.071
-5.315 -0.051 1.388
0.366 2.061 -5.079
O P Ir
8 2 2
Direct
0.081 0.765 0.684
0.147 0.331 0.816
0.603 0.919 0.684
0.235 0.919 0.316
0.669 0.485 0.816
0.669 0.853 0.184
0.081 0.397 0.316
0.515 0.331 0.184
0.250 0.750 0.500
0.500 0.500 0.000
0.000 0.000 0.000
0.750 0.250 0.500

No. 7
K2H6PdO6 (PBE-GGA, optimized geometry); energy above the most stable polymorph in this dataset = 0.72 kcal/mol of atoms; SG = No. 147
1.0
-3.853 -3.205 3.413
-0.304 -0.337 -6.046
2.843 -3.370 0.045
O Pd H K
6 1 6 2
Direct
0.688 0.907 0.742
0.093 0.781 0.742
0.312 0.093 0.258
0.781 0.688 0.258
0.219 0.312 0.742
0.907 0.219 0.258
0.000 0.000 0.000
0.697 0.793 0.585
0.793 0.097 0.415
0.903 0.697 0.415
0.303 0.207 0.415
0.207 0.903 0.585
0.097 0.303 0.585
0.333 0.667 0.164
0.667 0.333 0.836

No. 8
Li2Sc2Tl2CuPt (PBE-GGA, optimized geometry); SG = No. 115; final energy = -4.300 eV/atom
1.0
-3.194 -3.009 -1.433
2.915 -3.484 0.820
-2.296 -0.480 6.126
Li Tl Cu Pt Sc
2 2 1 1 2
Direct
0.500 0.500 0.000
0.000 0.000 0.500
0.000 0.500 0.765
0.500 0.000 0.235
0.000 0.000 0.000
0.500 0.500 0.500
0.000 0.500 0.258
0.500 0.000 0.742

No. 9
Ni14Te (PBE-GGA, optimized geometry); energy above the most stable polymorph in this dataset = 1.71 kcal/mol of atoms; SG = No. 2
1.0
-2.528 3.313 -0.965
-5.258 -3.839 0.559
-1.814 6.119 25.296
Ni Te
28 2
Direct
0.417 0.037 0.580
0.416 0.179 0.492
0.916 0.250 0.449
0.917 0.109 0.536
0.249 0.816 0.304
0.917 0.965 0.624
0.751 0.464 0.522
0.249 0.536 0.478
0.918 0.396 0.360
0.084 0.750 0.551
0.083 0.891 0.464
0.582 0.678 0.595
0.083 0.035 0.376
0.583 0.963 0.420
0.414 0.894 0.670
0.584 0.821 0.508
0.584 0.533 0.683
0.249 0.251 0.655
0.586 0.106 0.330
0.749 0.322 0.610
0.751 0.184 0.696
0.750 0.608 0.434
0.418 0.322 0.405
0.250 0.392 0.566
0.751 0.749 0.345
0.251 0.678 0.390
0.416 0.467 0.317
0.082 0.604 0.640
0.920 0.819 0.721
0.080 0.181 0.279

No. 10
LiZnHPd2 (PBE-GGA, optimized geometry); SG = No. 123; final energy = -3.867 eV/atom
1.0
3.980 0.000 0.000
0.000 3.980 0.000
0.000 0.000 3.681
Pd Li Zn H
2 1 1 1
Direct
0.500 0.000 0.000
0.000 0.500 0.000
0.000 0.000 0.500
0.500 0.500 0.500
0.000 0.000 0.000

No. 11
BeAgIrW (PBE-GGA, optimized geometry); energy above the most stable polymorph in this dataset = 0.45 kcal/mol of atoms; SG = No. 216
1.0
2.119 -1.611 3.440
-1.726 -3.279 2.277
1.781 -3.962 -0.203
Be Ir W Ag
1 1 1 1
Direct
0.750 0.750 0.750
0.000 0.000 0.000
0.250 0.250 0.250
0.500 0.500 0.500

No. 12
ErAgTePbSe2 (PBE-GGA, optimized geometry); SG = No. 63; final energy = -4.400 eV/atom
1.0
2.081 -7.081 0.000
2.081 7.081 0.000
0.000 0.000 11.171
Pb Se Ag Te Er
2 4 2 2 2
Direct
0.717 0.283 0.250
0.283 0.717 0.750
0.135 0.865 0.055
0.135 0.865 0.445
0.865 0.135 0.555
0.865 0.135 0.945
0.029 0.971 0.250
0.971 0.029 0.750
0.396 0.604 0.250
0.604 0.396 0.750
0.500 0.500 0.500
0.500 0.500 0.000